Material: BaYOs2
Method: DFT, PBE-GGA
State: optimized geometry

The space group is P4/mmm (No. 123) and the conventional cell measures 5.047, 5.047 and 3.558 Å, with angles of 90.00, 90.00 and 90.00 degrees. The asymmetric unit holds Ba at (0.000, 0.000, 0.000), Y at (0.500, 0.500, 0.000) and Os at (0.000, 0.500, 0.500).

Its formation energy is 0.944 eV per atom. The spin magnetization is 0.9 μB per formula unit. The calculation puts the total energy at -0.249 Ha/atom.